(1)
Compound: SrMgCl3
Source: Alexandria via LeMat-Bulk
Functional: PBE
Structure: relaxed

The space group is Pm-3m (No. 221) and the conventional cell measures 5.120, 5.120 and 5.120 Å, with angles of 90.00, 90.00 and 90.00 degrees. The asymmetric unit holds Sr at (0.000, 0.000, 0.000), Mg at (0.500, 0.500, 0.500) and Cl at (0.000, 0.500, 0.500).

The calculation puts the relative energy among the computed polymorphs at 0.0000 eV per atom.

***

(2)
Compound: NbAgN3
Source: Alexandria via LeMat-Bulk
Functional: PBE
Structure: relaxed

The space group is Pm-3m (No. 221) and the conventional cell measures 4.104, 4.104 and 4.104 Å, with angles of 90.00, 90.00 and 90.00 degrees. The asymmetric unit holds Nb at (0.000, 0.000, 0.000), Ag at (0.500, 0.500, 0.500) and N at (0.000, 0.000, 0.500).

***

Number 1: spin magnetization 0.000 μB/cell, energy -3.32 eV/atom, E_form (uncorrected) -7.8 eV/f.u.. Number 2: spin magnetization 2.419 μB/cell, energy -6.76 eV/atom, E_form (uncorrected) 4.1 eV/f.u..